one.
# Mg6Sn3Pt | Alexandria via LeMat-Bulk | PBE-GGA | relaxed
data_Mg6Sn3Pt
_cell_length_a 9.505
_cell_length_b 10.642
_cell_length_c 4.650
_cell_angle_alpha 90.00
_cell_angle_beta 90.00
_cell_angle_gamma 90.00
_symmetry_space_group_name_H-M 'P n n m'
_symmetry_Int_Tables_number 58
loop_
_symmetry_equiv_pos_as_xyz
'x,y,z'
'-x,-y,-z'
'-x,-y,z'
'x,y,-z'
'x+1/2,-y+1/2,-z+1/2'
'-x+1/2,y+1/2,z+1/2'
'-x+1/2,y+1/2,-z+1/2'
'x+1/2,-y+1/2,z+1/2'
loop_
_atom_site_label
_atom_site_fract_x
_atom_site_fract_y
_atom_site_fract_z
_atom_site_occupancy
Mg1 0.114 0.235 0.000 1
Mg2 0.115 0.914 0.500 1
Mg3 0.191 0.515 0.500 1
Sn1 0.000 0.500 0.000 1
Sn2 0.190 0.748 0.000 1
Pt1 0.000 0.000 0.000 1
# - calculated volume (Å³ per cell) = 470.4
# - DOS(E_F) (states/eV per cell) = 6.6

two.
# Mg6Sn3Pt | Alexandria via LeMat-Bulk | PBE-GGA | relaxed
data_Mg6Sn3Pt
_cell_length_a 12.383
_cell_length_b 5.981
_cell_length_c 8.682
_cell_angle_alpha 90.00
_cell_angle_beta 130.37
_cell_angle_gamma 90.00
_symmetry_space_group_name_H-M 'C 1 2/m 1'
_symmetry_Int_Tables_number 12
loop_
_symmetry_equiv_pos_as_xyz
'x,y,z'
'-x,-y,-z'
'-x,y,-z'
'x,-y,z'
'x+1/2,y+1/2,z'
'-x+1/2,-y+1/2,-z'
'-x+1/2,y+1/2,-z'
'x+1/2,-y+1/2,z'
loop_
_atom_site_label
_atom_site_fract_x
_atom_site_fract_y
_atom_site_fract_z
_atom_site_occupancy
Mg1 0.075 0.243 0.332 1
Mg2 0.226 0.000 0.882 1
Sn1 0.000 0.500 0.000 1
Sn2 0.201 0.500 0.712 1
Pt1 0.000 0.000 0.500 1
# - calculated volume (Å³ per cell) = 489.9
# - DOS(E_F) (states/eV per cell) = 6.1

What should be chosen as the least stable of them? Choose two.

one.
# Mg8SnPt2 | Alexandria via LeMat-Bulk | PBE-GGA | relaxed
data_Mg8SnPt2
_cell_length_a 8.239
_cell_length_b 11.971
_cell_length_c 4.980
_cell_angle_alpha 90.00
_cell_angle_beta 102.85
_cell_angle_gamma 90.00
_symmetry_space_group_name_H-M 'C 1 2/m 1'
_symmetry_Int_Tables_number 12
loop_
_symmetry_equiv_pos_as_xyz
'x,y,z'
'-x,-y,-z'
'-x,y,-z'
'x,-y,z'
'x+1/2,y+1/2,z'
'-x+1/2,-y+1/2,-z'
'-x+1/2,y+1/2,-z'
'x+1/2,-y+1/2,z'
loop_
_atom_site_label
_atom_site_fract_x
_atom_site_fract_y
_atom_site_fract_z
_atom_site_occupancy
Mg1 0.000 0.247 0.000 1
Mg2 0.120 0.000 0.804 1
Mg3 0.193 0.365 0.577 1
Sn1 0.000 0.500 0.000 1
Pt1 0.000 0.179 0.500 1
# - calculated volume (Å³ per cell) = 478.9
# - DOS(E_F) (states/eV per cell) = 9.2

two.
# Mg8SnPt2 | Alexandria via LeMat-Bulk | PBE-GGA | relaxed
data_Mg8SnPt2
_cell_length_a 4.497
_cell_length_b 6.857
_cell_length_c 8.244
_cell_angle_alpha 112.50
_cell_angle_beta 105.63
_cell_angle_gamma 90.14
_symmetry_space_group_name_H-M 'P 1'
_symmetry_Int_Tables_number 1
loop_
_symmetry_equiv_pos_as_xyz
'x,y,z'
loop_
_atom_site_label
_atom_site_fract_x
_atom_site_fract_y
_atom_site_fract_z
_atom_site_occupancy
Mg1 0.000 0.000 0.000 1
Mg2 0.053 0.487 0.106 1
Mg3 0.218 0.035 0.439 1
Mg4 0.347 0.805 0.696 1
Mg5 0.418 0.279 0.838 1
Mg6 0.633 0.209 0.268 1
Mg7 0.705 0.683 0.411 1
Mg8 0.834 0.453 0.667 1
Sn1 0.527 0.744 0.054 1
Pt1 0.205 0.419 0.413 1
Pt2 0.847 0.069 0.694 1
# - calculated volume (Å³ per cell) = 224.6
# - DOS(E_F) (states/eV per cell) = 5.0

What should be chosen as the least stable of them? Choose one.

one.
# MgSn2Pt2 | Alexandria via LeMat-Bulk | PBE-GGA | relaxed
data_MgSn2Pt2
_cell_length_a 7.220
_cell_length_b 7.220
_cell_length_c 3.866
_cell_angle_alpha 90.00
_cell_angle_beta 90.00
_cell_angle_gamma 90.00
_symmetry_space_group_name_H-M 'P 4/m b m'
_symmetry_Int_Tables_number 127
_symmetry_space_group_name_Hall '-P 4 2ab'
loop_
_atom_site_label
_atom_site_fract_x
_atom_site_fract_y
_atom_site_fract_z
_atom_site_occupancy
Mg1 0.000 0.000 0.000 1
Sn1 0.163 0.337 0.500 1
Pt1 0.143 0.643 0.000 1
# - calculated volume (Å³ per cell) = 201.5
# - DOS(E_F) (states/eV per cell) = 5.2

two.
# MgSn2Pt2 | Alexandria via LeMat-Bulk | PBE-GGA | relaxed
data_MgSn2Pt2
_cell_length_a 4.286
_cell_length_b 4.286
_cell_length_c 12.007
_cell_angle_alpha 90.00
_cell_angle_beta 90.00
_cell_angle_gamma 90.00
_symmetry_space_group_name_H-M 'I 4/m m m'
_symmetry_Int_Tables_number 139
_symmetry_space_group_name_Hall '-I 4 2'
loop_
_atom_site_label
_atom_site_fract_x
_atom_site_fract_y
_atom_site_fract_z
_atom_site_occupancy
Mg1 0.000 0.000 0.000 1
Sn1 0.000 0.500 0.250 1
Pt1 0.000 0.000 0.391 1
# - calculated volume (Å³ per cell) = 220.5
# - DOS(E_F) (states/eV per cell) = 6.1

three.
# MgSn2Pt2 | Alexandria via LeMat-Bulk | PBE-GGA | relaxed
data_MgSn2Pt2
_cell_length_a 4.512
_cell_length_b 4.625
_cell_length_c 9.728
_cell_angle_alpha 90.00
_cell_angle_beta 90.03
_cell_angle_gamma 90.00
_symmetry_space_group_name_H-M 'P 1 21/m 1'
_symmetry_Int_Tables_number 11
loop_
_symmetry_equiv_pos_as_xyz
'x,y,z'
'-x,-y,-z'
'-x,y+1/2,-z'
'x,-y+1/2,z'
loop_
_atom_site_label
_atom_site_fract_x
_atom_site_fract_y
_atom_site_fract_z
_atom_site_occupancy
Mg1 0.249 0.250 0.328 1
Sn1 0.250 0.250 0.008 1
Sn2 0.250 0.250 0.669 1
Pt1 0.250 0.750 0.165 1
Pt2 0.250 0.750 0.509 1
# - calculated volume (Å³ per cell) = 203.0
# - DOS(E_F) (states/eV per cell) = 2.6

four.
# MgSn2Pt2 | Alexandria via LeMat-Bulk | PBE-GGA | relaxed
data_MgSn2Pt2
_cell_length_a 7.961
_cell_length_b 7.961
_cell_length_c 3.221
_cell_angle_alpha 90.00
_cell_angle_beta 90.00
_cell_angle_gamma 90.00
_symmetry_space_group_name_H-M 'P 4/m b m'
_symmetry_Int_Tables_number 127
_symmetry_space_group_name_Hall '-P 4 2ab'
loop_
_atom_site_label
_atom_site_fract_x
_atom_site_fract_y
_atom_site_fract_z
_atom_site_occupancy
Mg1 0.000 0.000 0.000 1
Sn1 0.140 0.360 0.000 1
Pt1 0.159 0.659 0.500 1
# - calculated volume (Å³ per cell) = 204.1
# - DOS(E_F) (states/eV per cell) = 3.9

What should be chosen as the least stable of them? Choose four.

one.
# SrMg4Pt | Alexandria via LeMat-Bulk | PBE-GGA | relaxed
data_SrMg4Pt
_cell_length_a 8.166
_cell_length_b 8.166
_cell_length_c 8.166
_cell_angle_alpha 90.00
_cell_angle_beta 90.00
_cell_angle_gamma 90.00
_symmetry_space_group_name_H-M 'F -4 3 m'
_symmetry_Int_Tables_number 216
_symmetry_space_group_name_Hall 'F -4 2 3'
loop_
_atom_site_label
_atom_site_fract_x
_atom_site_fract_y
_atom_site_fract_z
_atom_site_occupancy
Sr1 0.000 0.000 0.000 1
Mg1 0.123 0.123 0.623 1
Pt1 0.250 0.250 0.250 1
# - calculated volume (Å³ per cell) = 544.5
# - DOS(E_F) (states/eV per cell) = 3.8

two.
# SrMg4Pt | Alexandria via LeMat-Bulk | PBE-GGA | relaxed
data_SrMg4Pt
_cell_length_a 9.008
_cell_length_b 4.222
_cell_length_c 7.863
_cell_angle_alpha 90.00
_cell_angle_beta 90.00
_cell_angle_gamma 90.00
_symmetry_space_group_name_H-M 'P m m a'
_symmetry_Int_Tables_number 51
loop_
_symmetry_equiv_pos_as_xyz
'x,y,z'
'-x,-y,-z'
'-x+1/2,-y,z'
'x+1/2,y,-z'
'x+1/2,-y,-z'
'-x+1/2,y,z'
'-x,y,-z'
'x,-y,z'
loop_
_atom_site_label
_atom_site_fract_x
_atom_site_fract_y
_atom_site_fract_z
_atom_site_occupancy
Sr1 0.250 0.000 0.092 1
Mg1 0.000 0.000 0.500 1
Mg2 0.068 0.500 0.791 1
Mg3 0.250 0.500 0.459 1
Pt1 0.250 0.000 0.688 1
# - calculated volume (Å³ per cell) = 299.0
# - DOS(E_F) (states/eV per cell) = 6.1

What should be chosen as the least stable of them? Choose one.

one.
# SrMg2Pt2 | Alexandria via LeMat-Bulk | PBE-GGA | relaxed
data_SrMg2Pt2
_cell_length_a 8.042
_cell_length_b 8.042
_cell_length_c 3.030
_cell_angle_alpha 90.00
_cell_angle_beta 90.00
_cell_angle_gamma 90.00
_symmetry_space_group_name_H-M 'P 4/m b m'
_symmetry_Int_Tables_number 127
_symmetry_space_group_name_Hall '-P 4 2ab'
loop_
_atom_site_label
_atom_site_fract_x
_atom_site_fract_y
_atom_site_fract_z
_atom_site_occupancy
Sr1 0.000 0.000 0.000 1
Mg1 0.124 0.376 0.000 1
Pt1 0.171 0.671 0.500 1
# - calculated volume (Å³ per cell) = 195.9
# - DOS(E_F) (states/eV per cell) = 3.8

two.
# SrMg2Pt2 | Alexandria via LeMat-Bulk | PBE-GGA | relaxed
data_SrMg2Pt2
_cell_length_a 4.307
_cell_length_b 4.307
_cell_length_c 11.888
_cell_angle_alpha 90.00
_cell_angle_beta 90.00
_cell_angle_gamma 90.00
_symmetry_space_group_name_H-M 'I 4/m m m'
_symmetry_Int_Tables_number 139
_symmetry_space_group_name_Hall '-I 4 2'
loop_
_atom_site_label
_atom_site_fract_x
_atom_site_fract_y
_atom_site_fract_z
_atom_site_occupancy
Sr1 0.000 0.000 0.000 1
Mg1 0.000 0.500 0.250 1
Pt1 0.000 0.000 0.388 1
# - calculated volume (Å³ per cell) = 220.5
# - DOS(E_F) (states/eV per cell) = 3.6

What should be chosen as the least stable of them? Choose one.

one.
# SrMgPt3 | Alexandria via LeMat-Bulk | PBE-GGA | relaxed
data_SrMgPt3
_cell_length_a 5.210
_cell_length_b 5.210
_cell_length_c 5.210
_cell_angle_alpha 90.00
_cell_angle_beta 90.00
_cell_angle_gamma 90.00
_symmetry_space_group_name_H-M 'P m -3 m'
_symmetry_Int_Tables_number 221
_symmetry_space_group_name_Hall '-P 4 2 3'
loop_
_atom_site_label
_atom_site_fract_x
_atom_site_fract_y
_atom_site_fract_z
_atom_site_occupancy
Sr1 0.000 0.000 0.000 1
Mg1 0.500 0.500 0.500 1
Pt1 0.000 0.000 0.500 1
# - calculated volume (Å³ per cell) = 141.5
# - DOS(E_F) (states/eV per cell) = 4.2

two.
# SrMgPt3 | Alexandria via LeMat-Bulk | PBE-GGA | relaxed
data_SrMgPt3
_cell_length_a 4.790
_cell_length_b 4.790
_cell_length_c 4.790
_cell_angle_alpha 90.00
_cell_angle_beta 90.00
_cell_angle_gamma 90.00
_symmetry_space_group_name_H-M 'P m -3 m'
_symmetry_Int_Tables_number 221
_symmetry_space_group_name_Hall '-P 4 2 3'
loop_
_atom_site_label
_atom_site_fract_x
_atom_site_fract_y
_atom_site_fract_z
_atom_site_occupancy
Sr1 0.000 0.000 0.000 1
Mg1 0.500 0.500 0.500 1
Pt1 0.000 0.500 0.500 1
# - calculated volume (Å³ per cell) = 109.9
# - DOS(E_F) (states/eV per cell) = 2.2

What should be chosen as the least stable of them? Choose one.